(1)
A plane-wave DFT calculation with meta-GGA SCAN was carried out for a crystal of LiMnP4O12 relaxed with PBEsol.

The structure in CIF format:
```
data_LiMnP4O12
_chemical_formula_sum 'Li2 Mn2 P8 O24'
_cell_length_a 5.180
_cell_length_b 7.188
_cell_length_c 13.216
_cell_angle_alpha 90.00
_cell_angle_beta 90.00
_cell_angle_gamma 101.20
_space_group_name_H-M_alt 'P 1'
_space_group_IT_number 1
_space_group_name_Hall 'P 1'
loop_
_atom_site_label
_atom_site_type_symbol
_atom_site_fract_x
_atom_site_fract_y
_atom_site_fract_z
O1 O 0.173 0.020 0.872
O2 O 0.759 0.589 0.920
O3 O 0.288 0.611 0.645
O4 O 0.816 0.536 0.712
O5 O 0.712 0.389 0.145
O6 O 0.248 0.639 0.871
O7 O 0.022 0.160 0.115
O8 O 0.371 0.963 0.088
O9 O 0.004 0.858 0.209
O10 O 0.652 0.859 0.759
O11 O 0.978 0.840 0.615
O12 O 0.108 0.477 0.029
O13 O 0.827 0.980 0.372
O14 O 0.601 0.670 0.289
O15 O 0.399 0.330 0.789
O16 O 0.892 0.523 0.529
O17 O 0.953 0.306 0.871
O18 O 0.629 0.037 0.588
O19 O 0.752 0.361 0.371
O20 O 0.996 0.142 0.709
O21 O 0.241 0.411 0.420
O22 O 0.184 0.464 0.212
O23 O 0.047 0.694 0.371
O24 O 0.348 0.141 0.259
Mn1 Mn 0.479 0.407 0.280
Mn2 Mn 0.521 0.593 0.780
P1 P 0.005 0.513 0.919
P2 P 0.214 0.034 0.167
P3 P 0.991 0.375 0.131
P4 P 0.009 0.625 0.631
P5 P 0.852 0.809 0.314
P6 P 0.786 0.966 0.667
P7 P 0.995 0.487 0.419
P8 P 0.148 0.191 0.814
Li1 Li 0.629 0.109 0.451
Li2 Li 0.371 0.891 0.951
```

- space group = P2_1 (4)

=====

(2)
A plane-wave DFT calculation with meta-GGA SCAN was carried out for a crystal of LiMnP4O12 relaxed with PBEsol.

The structure in CIF format:
```
data_LiMnP4O12
_chemical_formula_sum 'Li2 Mn2 P8 O24'
_cell_length_a 8.186
_cell_length_b 8.791
_cell_length_c 8.674
_cell_angle_alpha 68.23
_cell_angle_beta 61.84
_cell_angle_gamma 62.25
_space_group_name_H-M_alt 'P 1'
_space_group_IT_number 1
_space_group_name_Hall 'P 1'
loop_
_atom_site_label
_atom_site_type_symbol
_atom_site_fract_x
_atom_site_fract_y
_atom_site_fract_z
Li1 Li 0.261 0.250 0.750
Li2 Li 0.739 0.750 0.250
P1 P 0.411 0.637 0.658
P2 P 0.681 0.139 0.114
P3 P 0.934 0.361 0.386
P4 P 0.589 0.363 0.342
P5 P 0.066 0.639 0.614
P6 P 0.706 0.863 0.842
P7 P 0.294 0.137 0.158
P8 P 0.319 0.861 0.886
O1 O 0.324 0.695 0.846
O2 O 0.215 0.714 0.612
O3 O 0.948 0.523 0.257
O4 O 0.052 0.477 0.743
O5 O 0.785 0.286 0.388
O6 O 0.864 0.805 0.654
O7 O 0.728 0.977 0.243
O8 O 0.465 0.437 0.710
O9 O 0.813 0.145 0.915
O10 O 0.790 0.787 0.982
O11 O 0.874 0.355 0.585
O12 O 0.187 0.855 0.085
O13 O 0.272 0.023 0.757
O14 O 0.676 0.305 0.154
O15 O 0.210 0.213 0.018
O16 O 0.136 0.195 0.346
O17 O 0.541 0.786 0.888
O18 O 0.126 0.645 0.415
O19 O 0.612 0.063 0.790
O20 O 0.441 0.287 0.482
O21 O 0.459 0.214 0.112
O22 O 0.535 0.563 0.290
O23 O 0.388 0.937 0.210
O24 O 0.559 0.713 0.518
Mn1 Mn 0.310 0.750 0.250
Mn2 Mn 0.690 0.250 0.750
```

- space group = C2/c (15)

=====

Energies relative to the minimum, eV/atom: (1) 0.000; (2) 0.073

=====

(1)
A plane-wave DFT calculation with meta-GGA SCAN was carried out for a crystal of Li2Mn3P4O14 relaxed with PBEsol.

The structure in CIF format:
```
data_Li2Mn3P4O14
_chemical_formula_sum 'Li4 Mn6 P8 O28'
_cell_length_a 7.363
_cell_length_b 7.878
_cell_length_c 9.710
_cell_angle_alpha 90.00
_cell_angle_beta 109.92
_cell_angle_gamma 90.00
_space_group_name_H-M_alt 'P 1'
_space_group_IT_number 1
_space_group_name_Hall 'P 1'
loop_
_atom_site_label
_atom_site_type_symbol
_atom_site_fract_x
_atom_site_fract_y
_atom_site_fract_z
O1 O 0.988 0.206 0.642
O2 O 0.320 0.368 0.308
O3 O 0.609 0.994 0.796
O4 O 0.988 0.294 0.142
O5 O 0.379 0.828 0.896
O6 O 0.034 0.417 0.391
O7 O 0.156 0.378 0.877
O8 O 0.966 0.583 0.609
O9 O 0.012 0.706 0.858
O10 O 0.012 0.794 0.358
O11 O 0.391 0.006 0.204
O12 O 0.379 0.672 0.396
O13 O 0.391 0.494 0.704
O14 O 0.844 0.622 0.123
O15 O 0.279 0.611 0.124
O16 O 0.034 0.083 0.891
O17 O 0.609 0.506 0.296
O18 O 0.621 0.328 0.604
O19 O 0.721 0.389 0.876
O20 O 0.621 0.172 0.104
O21 O 0.680 0.632 0.692
O22 O 0.320 0.132 0.808
O23 O 0.721 0.111 0.376
O24 O 0.279 0.889 0.624
O25 O 0.966 0.917 0.109
O26 O 0.844 0.878 0.623
O27 O 0.680 0.868 0.192
O28 O 0.156 0.122 0.377
Li1 Li 0.711 0.418 0.147
Li2 Li 0.289 0.582 0.853
Li3 Li 0.289 0.918 0.353
Li4 Li 0.711 0.082 0.647
P1 P 0.117 0.206 0.805
P2 P 0.599 0.051 0.220
P3 P 0.883 0.794 0.195
P4 P 0.401 0.949 0.780
P5 P 0.117 0.294 0.305
P6 P 0.401 0.551 0.280
P7 P 0.883 0.706 0.695
P8 P 0.599 0.449 0.720
Mn1 Mn 0.802 0.377 0.478
Mn2 Mn 0.000 0.000 0.500
Mn3 Mn 0.000 0.500 0.000
Mn4 Mn 0.198 0.877 0.022
Mn5 Mn 0.198 0.623 0.522
Mn6 Mn 0.802 0.123 0.978
```

- space group = P2_1/c (14)

=====

(2)
A plane-wave DFT calculation with meta-GGA SCAN was carried out for a crystal of Li2Mn3P4O14 relaxed with PBEsol.

The structure in CIF format:
```
data_Li2Mn3P4O14
_chemical_formula_sum 'Li2 Mn3 P4 O14'
_cell_length_a 5.646
_cell_length_b 7.080
_cell_length_c 7.350
_cell_angle_alpha 74.44
_cell_angle_beta 84.43
_cell_angle_gamma 65.74
_space_group_name_H-M_alt 'P 1'
_space_group_IT_number 1
_space_group_name_Hall 'P 1'
loop_
_atom_site_label
_atom_site_type_symbol
_atom_site_fract_x
_atom_site_fract_y
_atom_site_fract_z
Mn1 Mn 0.805 0.508 0.677
Mn2 Mn 0.000 0.000 0.000
Mn3 Mn 0.195 0.492 0.323
O1 O 0.447 0.736 0.544
O2 O 0.041 0.926 0.721
O3 O 0.122 0.267 0.855
O4 O 0.943 0.348 0.455
O5 O 0.553 0.264 0.456
O6 O 0.057 0.652 0.545
O7 O 0.688 0.724 0.849
O8 O 0.693 0.457 0.149
O9 O 0.613 0.165 0.883
O10 O 0.959 0.074 0.279
O11 O 0.312 0.276 0.151
O12 O 0.307 0.543 0.851
O13 O 0.878 0.733 0.145
O14 O 0.387 0.835 0.117
P1 P 0.339 0.300 0.939
P2 P 0.793 0.273 0.345
P3 P 0.207 0.727 0.655
P4 P 0.661 0.700 0.061
Li1 Li 0.337 0.985 0.310
Li2 Li 0.663 0.015 0.690
```

- space group = P-1 (2)

=====

Energies relative to the minimum, eV/atom: (1) 0.000; (2) 0.016

=====

(1)
A plane-wave DFT calculation with meta-GGA SCAN was carried out for a crystal of Li2MnP2O8 relaxed with PBEsol.

The structure in CIF format:
```
data_Li2MnP2O8
_chemical_formula_sum 'Li2 Mn1 P2 O8'
_cell_length_a 4.567
_cell_length_b 4.906
_cell_length_c 6.919
_cell_angle_alpha 89.83
_cell_angle_beta 81.84
_cell_angle_gamma 63.31
_space_group_name_H-M_alt 'P 1'
_space_group_IT_number 1
_space_group_name_Hall 'P 1'
loop_
_atom_site_label
_atom_site_type_symbol
_atom_site_fract_x
_atom_site_fract_y
_atom_site_fract_z
O1 O 0.767 0.853 0.099
O2 O 0.722 0.384 0.731
O3 O 0.283 0.265 0.547
O4 O 0.233 0.147 0.901
O5 O 0.717 0.735 0.453
O6 O 0.278 0.616 0.269
O7 O 0.858 0.167 0.346
O8 O 0.142 0.833 0.654
Li1 Li 0.290 0.205 0.155
Li2 Li 0.710 0.795 0.845
P1 P 0.101 0.158 0.713
P2 P 0.899 0.842 0.287
Mn1 Mn 0.500 0.500 0.500
```

- space group = P-1 (2)

=====

(2)
A plane-wave DFT calculation with meta-GGA SCAN was carried out for a crystal of Li2MnP2O8 relaxed with PBEsol.

The structure in CIF format:
```
data_Li2MnP2O8
_chemical_formula_sum 'Li4 Mn2 P4 O16'
_cell_length_a 6.086
_cell_length_b 6.086
_cell_length_c 8.874
_cell_angle_alpha 104.82
_cell_angle_beta 109.00
_cell_angle_gamma 98.77
_space_group_name_H-M_alt 'P 1'
_space_group_IT_number 1
_space_group_name_Hall 'P 1'
loop_
_atom_site_label
_atom_site_type_symbol
_atom_site_fract_x
_atom_site_fract_y
_atom_site_fract_z
Li1 Li 0.824 0.605 0.988
Li2 Li 0.883 0.165 0.488
Li3 Li 0.176 0.395 0.012
Li4 Li 0.117 0.835 0.512
P1 P 0.477 0.281 0.642
P2 P 0.139 0.836 0.858
P3 P 0.861 0.164 0.142
P4 P 0.523 0.719 0.358
O1 O 0.576 0.539 0.762
O2 O 0.277 0.814 0.738
O3 O 0.723 0.186 0.262
O4 O 0.369 0.844 0.246
O5 O 0.902 0.877 0.746
O6 O 0.439 0.738 0.510
O7 O 0.098 0.123 0.254
O8 O 0.788 0.816 0.410
O9 O 0.095 0.622 0.910
O10 O 0.561 0.262 0.490
O11 O 0.905 0.378 0.090
O12 O 0.272 0.071 0.010
O13 O 0.424 0.461 0.238
O14 O 0.631 0.156 0.754
O15 O 0.728 0.929 0.990
O16 O 0.212 0.184 0.590
Mn1 Mn 0.597 0.847 0.750
Mn2 Mn 0.403 0.153 0.250
```

- space group = C2/c (15)

=====

Energies relative to the minimum, eV/atom: (1) 0.041; (2) 0.000

=====

(1)
A plane-wave DFT calculation with meta-GGA SCAN was carried out for a crystal of Li4MnSi2O7 relaxed with PBEsol.

The structure in CIF format:
```
data_Li4MnSi2O7
_chemical_formula_sum 'Li4 Mn1 Si2 O7'
_cell_length_a 4.489
_cell_length_b 5.238
_cell_length_c 6.788
_cell_angle_alpha 99.92
_cell_angle_beta 90.00
_cell_angle_gamma 115.37
_space_group_name_H-M_alt 'P 1'
_space_group_IT_number 1
_space_group_name_Hall 'P 1'
loop_
_atom_site_label
_atom_site_type_symbol
_atom_site_fract_x
_atom_site_fract_y
_atom_site_fract_z
Li1 Li 0.705 0.424 0.647
Li2 Li 0.281 0.576 0.353
Li3 Li 0.134 0.298 0.938
Li4 Li 0.836 0.702 0.062
O1 O 0.914 0.411 0.156
O2 O 0.766 0.108 0.731
O3 O 0.503 0.589 0.844
O4 O 0.409 0.273 0.390
O5 O 0.312 0.000 0.000
O6 O 0.136 0.727 0.610
O7 O 0.658 0.892 0.269
Si1 Si 0.585 0.152 0.210
Si2 Si 0.433 0.848 0.790
Mn1 Mn 0.000 0.000 0.500
```

- space group = C2 (5)

=====

(2)
A plane-wave DFT calculation with meta-GGA SCAN was carried out for a crystal of Li4MnSi2O7 relaxed with PBEsol.

The structure in CIF format:
```
data_Li4MnSi2O7
_chemical_formula_sum 'Li8 Mn2 Si4 O14'
_cell_length_a 5.402
_cell_length_b 7.162
_cell_length_c 8.010
_cell_angle_alpha 94.84
_cell_angle_beta 90.00
_cell_angle_gamma 112.15
_space_group_name_H-M_alt 'P 1'
_space_group_IT_number 1
_space_group_name_Hall 'P 1'
loop_
_atom_site_label
_atom_site_type_symbol
_atom_site_fract_x
_atom_site_fract_y
_atom_site_fract_z
Li1 Li 0.811 0.992 0.977
Li2 Li 0.574 0.446 0.554
Li3 Li 0.181 0.992 0.477
Li4 Li 0.468 0.586 0.906
Li5 Li 0.583 0.846 0.623
Li6 Li 0.263 0.846 0.123
Li7 Li 0.872 0.446 0.054
Li8 Li 0.118 0.586 0.406
Si1 Si 0.409 0.148 0.829
Si2 Si 0.739 0.148 0.329
Si3 Si 0.695 0.729 0.263
Si4 Si 0.034 0.729 0.763
Mn1 Mn 0.988 0.299 0.702
Mn2 Mn 0.311 0.299 0.202
O1 O 0.914 0.215 0.162
O2 O 0.301 0.215 0.662
O3 O 0.851 0.332 0.479
O4 O 0.481 0.332 0.979
O5 O 0.788 0.946 0.398
O6 O 0.419 0.086 0.293
O7 O 0.207 0.780 0.596
O8 O 0.158 0.946 0.898
O9 O 0.573 0.780 0.096
O10 O 0.718 0.673 0.729
O11 O 0.667 0.086 0.793
O12 O 0.464 0.554 0.360
O13 O 0.955 0.673 0.229
O14 O 0.090 0.554 0.860
```

- space group = Cc (9)

=====

Energies relative to the minimum, eV/atom: (1) 0.011; (2) 0.000

=====

(1)
A plane-wave DFT calculation with meta-GGA SCAN was carried out for a crystal of Li2MnSnO4 relaxed with PBEsol.

The structure in CIF format:
```
data_Li2MnSnO4
_chemical_formula_sum 'Li4 Mn2 Sn2 O8'
_cell_length_a 6.176
_cell_length_b 6.176
_cell_length_c 6.107
_cell_angle_alpha 60.39
_cell_angle_beta 60.39
_cell_angle_gamma 90.78
_space_group_name_H-M_alt 'P 1'
_space_group_IT_number 1
_space_group_name_Hall 'P 1'
loop_
_atom_site_label
_atom_site_type_symbol
_atom_site_fract_x
_atom_site_fract_y
_atom_site_fract_z
Li1 Li 0.500 0.000 0.500
Li2 Li 0.000 0.000 0.500
Li3 Li 0.000 0.500 0.000
Li4 Li 0.000 0.000 0.000
O1 O 0.248 0.752 0.489
O2 O 0.752 0.248 0.989
O3 O 0.761 0.729 0.505
O4 O 0.239 0.271 0.495
O5 O 0.752 0.248 0.511
O6 O 0.248 0.752 0.011
O7 O 0.729 0.761 0.005
O8 O 0.271 0.239 0.995
Sn1 Sn 0.500 0.000 0.000
Sn2 Sn 0.000 0.500 0.500
Mn1 Mn 0.500 0.500 0.500
Mn2 Mn 0.500 0.500 0.000
```

- space group = Imma (74)

=====

(2)
A plane-wave DFT calculation with meta-GGA SCAN was carried out for a crystal of Li2MnSnO4 relaxed with PBEsol.

The structure in CIF format:
```
data_Li2MnSnO4
_chemical_formula_sum 'Li2 Mn1 Sn1 O4'
_cell_length_a 4.207
_cell_length_b 4.207
_cell_length_c 5.468
_cell_angle_alpha 112.62
_cell_angle_beta 112.62
_cell_angle_gamma 90.00
_space_group_name_H-M_alt 'P 1'
_space_group_IT_number 1
_space_group_name_Hall 'P 1'
loop_
_atom_site_label
_atom_site_type_symbol
_atom_site_fract_x
_atom_site_fract_y
_atom_site_fract_z
Sn1 Sn 0.250 0.750 0.500
O1 O 0.256 0.256 0.511
O2 O 0.744 0.744 0.489
O3 O 0.478 0.978 0.957
O4 O 0.022 0.522 0.043
Mn1 Mn 0.500 0.500 0.000
Li1 Li 0.750 0.250 0.500
Li2 Li 0.000 0.000 0.000
```

- space group = I-4m2 (119)

=====

Energies relative to the minimum, eV/atom: (1) 0.019; (2) 0.000

=====

(1)
A plane-wave DFT calculation with meta-GGA SCAN was carried out for a crystal of Li3Mn2SnO6 relaxed with PBEsol.

The structure in CIF format:
```
data_Li3Mn2SnO6
_chemical_formula_sum 'Li6 Mn4 Sn2 O12'
_cell_length_a 5.990
_cell_length_b 6.092
_cell_length_c 6.809
_cell_angle_alpha 77.06
_cell_angle_beta 78.92
_cell_angle_gamma 90.65
_space_group_name_H-M_alt 'P 1'
_space_group_IT_number 1
_space_group_name_Hall 'P 1'
loop_
_atom_site_label
_atom_site_type_symbol
_atom_site_fract_x
_atom_site_fract_y
_atom_site_fract_z
Li1 Li 0.180 0.169 0.837
Li2 Li 0.500 0.500 0.500
Li3 Li 0.166 0.691 0.850
Li4 Li 0.834 0.309 0.150
Li5 Li 0.500 0.000 0.500
Li6 Li 0.820 0.831 0.163
Sn1 Sn 0.000 0.500 0.500
Sn2 Sn 0.000 0.000 0.500
O1 O 0.229 0.745 0.529
O2 O 0.771 0.255 0.471
O3 O 0.443 0.393 0.831
O4 O 0.431 0.937 0.826
O5 O 0.898 0.396 0.821
O6 O 0.899 0.935 0.818
O7 O 0.557 0.607 0.169
O8 O 0.237 0.252 0.503
O9 O 0.101 0.065 0.182
O10 O 0.763 0.748 0.497
O11 O 0.569 0.063 0.174
O12 O 0.102 0.604 0.179
Mn1 Mn 0.351 0.335 0.158
Mn2 Mn 0.344 0.840 0.164
Mn3 Mn 0.656 0.160 0.836
Mn4 Mn 0.649 0.665 0.842
```

- space group = P-1 (2)

=====

(2)
A plane-wave DFT calculation with meta-GGA SCAN was carried out for a crystal of Li3Mn2SnO6 relaxed with PBEsol.

The structure in CIF format:
```
data_Li3Mn2SnO6
_chemical_formula_sum 'Li3 Mn2 Sn1 O6'
_cell_length_a 3.011
_cell_length_b 5.969
_cell_length_c 6.877
_cell_angle_alpha 101.22
_cell_angle_beta 102.65
_cell_angle_gamma 90.00
_space_group_name_H-M_alt 'P 1'
_space_group_IT_number 1
_space_group_name_Hall 'P 1'
loop_
_atom_site_label
_atom_site_type_symbol
_atom_site_fract_x
_atom_site_fract_y
_atom_site_fract_z
Mn1 Mn 0.670 0.847 0.339
Mn2 Mn 0.330 0.153 0.661
O1 O 0.507 0.264 0.014
O2 O 0.841 0.398 0.683
O3 O 0.166 0.067 0.331
O4 O 0.159 0.602 0.317
O5 O 0.834 0.933 0.669
O6 O 0.493 0.736 0.986
Li1 Li 0.330 0.677 0.659
Li2 Li 0.670 0.323 0.341
Li3 Li 0.000 0.000 0.000
Sn1 Sn 0.000 0.500 0.000
```

- space group = C2/m (12)

=====

Energies relative to the minimum, eV/atom: (1) 0.000; (2) 0.012